DFT (GGA+U) results for a relaxed AcVZnO5 crystal.

It has space group C2/c (No. 15), with a = 9.004 Å, b = 8.908 Å, c = 8.812 Å, α = 90.00°, β = 119.47° and γ = 90.00°. The asymmetric unit holds Ac at (0.000, 0.000, 0.000), V at (0.000, 0.378, 0.250), Zn at (0.000, 0.324, 0.750), O at (0.000, 0.120, 0.750), O at (0.004, 0.267, 0.411) and O at (0.174, 0.492, 0.834).

The value obtained for the final energy is -6.948 eV/atom.